TbPr2Nd6Sm3 PBE-GGA optimized geometry; D(E_F) = 18.1 states/eV/cell; space group = C2/m
1.0
-2.4034 -5.1584 -2.8188
4.5975 3.3255 -2.8522
7.5118 -6.1701 7.2839
Sm Pr Tb Nd
3 2 1 6
direct
0.5000 0.5000 0.5000 Sm
0.1665 0.8335 0.5000 Sm
0.8335 0.1665 0.5000 Sm
0.6667 0.3333 0.0000 Pr
0.3333 0.6667 0.0000 Pr
0.0000 0.0000 0.0000 Tb
0.4157 0.0836 0.2510 Nd
0.5843 0.9164 0.7490 Nd
0.9164 0.5843 0.7490 Nd
0.7513 0.7513 0.2514 Nd
0.0836 0.4157 0.2510 Nd
0.2487 0.2487 0.7486 Nd

=====

ZrRu2Rh PBE-GGA optimized geometry; D(E_F) = 6.0 states/eV/cell; space group = P2/m
1.0
4.6799 0.0000 0.0000
0.0000 2.8641 -0.0114
0.0000 0.5328 4.7737
Rh Ru Zr
1 2 1
direct
0.5000 0.7500 0.7500 Rh
0.0000 0.9482 0.9876 Ru
0.0000 0.5518 0.5124 Ru
0.5000 0.2500 0.2500 Zr

=====

Number 1: volume 417.7 Å³ per cell, total magnetization 0.00 μB/f.u., calculated formation energy 0.013 eV per atom. Number 2: volume 64.0 Å³ per cell, total magnetization 0.00 μB/f.u., calculated formation energy -0.023 eV per atom.